VASP calculation (PBE) on an optimized crystal structure of Pa3PdS2O6.

Results
VASP energy: -8.54 eV/atom
formation energy from raw total energies: -2.564 eV/atom
crystal system: monoclinic

CIF file:
```
data_Pa3PdS2O6
_chemical_formula_sum 'Pa6 Pd2 S4 O12'
_space_group_name_H-M_alt 'C 1 2/m 1'
_space_group_IT_number 12
_space_group_name_Hall '-C 2y'
_cell_length_a 11.809
_cell_length_b 7.598
_cell_length_c 5.812
_cell_angle_alpha 90.00
_cell_angle_beta 105.12
_cell_angle_gamma 90.00
loop_
_atom_site_label
_atom_site_type_symbol
_atom_site_fract_x
_atom_site_fract_y
_atom_site_fract_z
_atom_site_occupancy
Pa1 Pa 0.000 0.000 0.000 1
Pa2 Pa 0.250 0.250 0.500 1
Pd1 Pd 0.000 0.500 0.500 1
S1 S 0.184 0.000 0.785 1
O1 O 0.093 0.197 0.238 1
O2 O 0.180 0.500 0.594 1
```